Entry from Alexandria: crystalline Sr3ThSn12 at its relaxed geometry (PBE-GGA).

Output
**Crystal system**: tetragonal
**Magnetization**: 0.0 μB per formula unit
**Calculated total energy**: -67.0 eV/cell

a = 4.815 Å, b = 4.815 Å, c = 19.483 Å
α = 90.00°, β = 90.00°, γ = 90.00°
Fractional coordinates of all 16 atoms:
Sr: 0.000 0.000 0.000
Sr: 0.000 0.000 0.254
Sr: 0.000 0.000 0.746
Th: 0.000 0.000 0.500
Sn: 0.000 0.500 0.126
Sn: 0.000 0.500 0.378
Sn: 0.000 0.500 0.622
Sn: 0.000 0.500 0.874
Sn: 0.500 0.000 0.126
Sn: 0.500 0.000 0.378
Sn: 0.500 0.000 0.622
Sn: 0.500 0.000 0.874
Sn: 0.500 0.500 0.000
Sn: 0.500 0.500 0.251
Sn: 0.500 0.500 0.500
Sn: 0.500 0.500 0.749

Entry from Alexandria: crystalline SrThSn at its relaxed geometry (PBE-GGA).

Output
**Crystal system**: hexagonal
**Magnetization**: 0.0 μB per formula unit
**Calculated total energy**: -26.6 eV/cell

a = 3.682 Å, b = 3.682 Å, c = 17.506 Å
α = 90.00°, β = 90.00°, γ = 120.00°
Fractional coordinates of all 6 atoms:
Sr: 0.000 0.000 0.156
Sr: 0.000 0.000 0.844
Th: 0.333 0.667 0.350
Th: 0.333 0.667 0.650
Sn: 0.000 0.000 0.500
Sn: 0.333 0.667 0.000

Entry from Alexandria: crystalline SrTi3Sn at its relaxed geometry (PBE-GGA).

Output
**Offset from the most stable computed form**: 0.8562 eV per atom
**Crystal system**: cubic
**Magnetization**: 1.9 μB per formula unit
**Calculated total energy**: -21.0 eV/cell

a = 4.814 Å, b = 4.814 Å, c = 4.814 Å
α = 90.00°, β = 90.00°, γ = 90.00°
Fractional coordinates of all 5 atoms:
Sr: 0.000 0.000 0.000
Ti: 0.000 0.000 0.500
Ti: 0.000 0.500 0.000
Ti: 0.500 0.000 0.000
Sn: 0.500 0.500 0.500

Entry from Alexandria: crystalline SrTiSn2 at its relaxed geometry (PBE-GGA).

Output
**Crystal system**: trigonal
**Magnetization**: 0.0 μB per formula unit
**Calculated total energy**: -56.0 eV/cell

a = 4.586 Å, b = 4.586 Å, c = 18.969 Å
α = 90.00°, β = 90.00°, γ = 120.00°
Fractional coordinates of all 12 atoms:
Sr: 0.000 0.000 0.000
Sr: 0.333 0.667 0.667
Sr: 0.667 0.333 0.333
Ti: 0.000 0.000 0.500
Ti: 0.333 0.667 0.167
Ti: 0.667 0.333 0.833
Sn: 0.000 0.000 0.223
Sn: 0.000 0.000 0.777
Sn: 0.333 0.667 0.444
Sn: 0.333 0.667 0.889
Sn: 0.667 0.333 0.111
Sn: 0.667 0.333 0.556